--- i ---
First-principles (PBE) data for an optimized crystal structure of CrNiHg2, as listed in Alexandria via LeMat-Bulk.

Cell: 3.320 3.322 6.237 Å, 90.00 90.00 90.00°
Atoms (fractional coordinates):
Cr  0.500  0.500  0.750
Hg  0.000  0.000  0.013
Hg  0.000  0.000  0.487
Ni  0.500  0.500  0.250

Summary:
Space group = No. 123
Magnetization = 3.707 μB per formula unit

--- ii ---
First-principles (PBE) data for an optimized crystal structure of CrNiHg2, as listed in Alexandria via LeMat-Bulk.

Cell: 5.204 5.204 4.702 Å, 72.62 72.62 35.17°
Atoms (fractional coordinates):
Cr  0.775  0.775  0.754
Hg  0.013  0.013  0.964
Hg  0.231  0.231  0.293
Ni  0.481  0.481  0.488

Summary:
Space group = No. 8
Magnetization = 3.951 μB per formula unit

--- iii ---
First-principles (PBE) data for an optimized crystal structure of CrNiHg2, as listed in Alexandria via LeMat-Bulk.

Cell: 4.806 4.806 4.295 Å, 63.47 63.47 53.06°
Atoms (fractional coordinates):
Cr  0.750  0.750  0.750
Hg  0.000  0.000  0.000
Hg  0.500  0.500  0.500
Ni  0.250  0.250  0.250

Summary:
Space group = No. 139
Magnetization = 3.860 μB per formula unit

How far above the most stable structure does each one sit? In kJ/mol of atoms: i 0.7; ii 4.6; iii 0.0.

--- i ---
First-principles (PBE) data for an optimized crystal structure of CrNiHg2, as listed in Alexandria via LeMat-Bulk.

Cell: 4.260 4.258 3.820 Å, 90.00 90.00 90.00°
Atoms (fractional coordinates):
Cr  0.000  0.500  0.500
Hg  0.000  0.000  0.000
Hg  0.500  0.500  0.000
Ni  0.500  0.000  0.500

Summary:
Space group = No. 123
Magnetization = 4.141 μB per formula unit

--- ii ---
First-principles (PBE) data for an optimized crystal structure of CrNiHg2, as listed in Alexandria via LeMat-Bulk.

Cell: 3.059 3.059 7.520 Å, 90.00 90.00 90.00°
Atoms (fractional coordinates):
Cr  0.500  0.500  0.701
Hg  0.000  0.000  0.965
Hg  0.500  0.500  0.299
Ni  0.000  0.000  0.536

Summary:
Space group = No. 99
Magnetization = 3.377 μB per formula unit

--- iii ---
First-principles (PBE) data for an optimized crystal structure of CrNiHg2, as listed in Alexandria via LeMat-Bulk.

Cell: 4.592 4.592 4.592 Å, 60.00 60.00 60.00°
Atoms (fractional coordinates):
Ni  0.500  0.500  0.500
Hg  0.250  0.250  0.250
Hg  0.750  0.750  0.750
Cr  0.000  0.000  0.000

Summary:
Space group = No. 225
Magnetization = 3.648 μB per formula unit

--- iv ---
First-principles (PBE) data for an optimized crystal structure of CrNiHg2, as listed in Alexandria via LeMat-Bulk.

Cell: 4.339 3.094 5.486 Å, 74.85 90.00 90.00°
Atoms (fractional coordinates):
Cr  0.500  0.574  0.756
Hg  0.000  0.980  0.951
Hg  0.500  0.270  0.307
Ni  0.000  0.676  0.487

Summary:
Space group = No. 6
Magnetization = 4.270 μB per formula unit

How far above the most stable structure does each one sit? In kJ/mol of atoms: i 5.7; ii 0.0; iii 3.8; iv 11.2.

--- i ---
First-principles (PBE) data for an optimized crystal structure of CrNiHg2, as listed in Alexandria via LeMat-Bulk.

Cell: 9.223 9.223 9.223 Å, 18.98 18.98 18.98°
Atoms (fractional coordinates):
Cr  0.762  0.762  0.762
Hg  0.009  0.009  0.009
Hg  0.238  0.238  0.238
Ni  0.490  0.490  0.490

Summary:
Space group = No. 160
Magnetization = 3.202 μB per formula unit

--- ii ---
First-principles (PBE) data for an optimized crystal structure of CrNiHg2, as listed in Alexandria via LeMat-Bulk.

Cell: 4.623 4.623 4.623 Å, 60.00 60.00 60.00°
Atoms (fractional coordinates):
Cr  0.500  0.500  0.500
Hg  0.000  0.000  0.000
Hg  0.250  0.250  0.250
Ni  0.750  0.750  0.750

Summary:
Space group = No. 216
Magnetization = 3.836 μB per formula unit

How far above the most stable structure does each one sit? In kJ/mol of atoms: i 0.0; ii 2.4.